# GGA-PBE CeRe4C2, relaxed
data_CeRe4C2
_cell_length_a 3.917
_cell_length_b 3.942
_cell_length_c 7.189
_cell_angle_alpha 105.91
_cell_angle_beta 90.00
_cell_angle_gamma 90.00
_space_group_name_H-M_alt 'P 1'
_space_group_IT_number 1
loop_
_space_group_symop_operation_xyz
'x,y,z'
loop_
_atom_site_label
_atom_site_type_symbol
_atom_site_fract_x
_atom_site_fract_y
_atom_site_fract_z
_atom_site_occupancy
Ce1 Ce 0.000 0.000 0.000 1
Re1 Re 0.500 0.824 0.648 1
Re2 Re 0.000 0.685 0.370 1
Re3 Re 0.500 0.176 0.352 1
Re4 Re 0.000 0.315 0.630 1
C1 C 0.500 0.624 0.248 1
C2 C 0.500 0.376 0.752 1
# * formation energy: 144 meV/atom
# * total moment: 0.418 Bohr magnetons per cell
# * total DFT energy (no corrections): -10.452 eV per atom
# * theoretical density: 14.14 g/cm³